(1)
A geometry-optimized CuOsSO structure, computed with PBE.

Lattice parameters (Å, degrees): 3.471 3.471 8.190 90.00 90.00 90.00
Element x y z (fractional)
1 Cu 0.250 0.750 0.000
2 Cu 0.750 0.250 0.000
3 Os 0.250 0.250 0.345
4 Os 0.750 0.750 0.655
5 S 0.250 0.250 0.785
6 S 0.750 0.750 0.215
7 O 0.250 0.750 0.500
8 O 0.750 0.250 0.500

Values from the calculation:
E_form (uncorrected) = 375 meV per atom
Space group = No. 129

***

(2)
A geometry-optimized Ti2MnNb2 structure, computed with PBE.

Lattice parameters (Å, degrees): 6.962 6.962 6.962 149.08 149.08 44.29
Element x y z (fractional)
1 Ti 0.083 0.083 0.000
2 Ti 0.917 0.917 0.000
3 Mn 0.500 0.500 0.000
4 Nb 0.250 0.750 0.500
5 Nb 0.750 0.250 0.500

Values from the calculation:
Calculated formation energy = 412 kJ/mol of formula units
Space group = No. 139
Relative energy among the computed polymorphs = 774 meV per atom

***

(3)
A geometry-optimized Ce2GaMoN5 structure, computed with PBE.

Lattice parameters (Å, degrees): 7.085 7.085 9.989 90.00 90.00 153.29
Element x y z (fractional)
1 Ce 0.122 0.878 0.500
2 Ce 0.132 0.868 0.063
3 Ce 0.868 0.132 0.563
4 Ce 0.878 0.122 0.000
5 Ga 0.486 0.514 0.262
6 Ga 0.514 0.486 0.762
7 Mo 0.224 0.776 0.788
8 Mo 0.776 0.224 0.288
9 N 0.064 0.936 0.827
10 N 0.284 0.716 0.429
11 N 0.297 0.703 0.152
12 N 0.364 0.636 0.791
13 N 0.499 0.501 0.065
14 N 0.501 0.499 0.565
15 N 0.636 0.364 0.291
16 N 0.703 0.297 0.652
17 N 0.716 0.284 0.929
18 N 0.936 0.064 0.327

Values from the calculation:
E_form (uncorrected) = -874 meV per atom
Space group = No. 36

***

(4)
A geometry-optimized SrSmRh2 structure, computed with PBE.

Lattice parameters (Å, degrees): 5.010 5.010 5.010 60.00 60.00 60.00
Element x y z (fractional)
1 Sr 0.000 0.000 0.000
2 Sm 0.500 0.500 0.500
3 Rh 0.250 0.250 0.250
4 Rh 0.750 0.750 0.750

Values from the calculation:
Calculated formation energy = -147 kJ/mol of formula units
Space group = No. 225
Relative energy among the computed polymorphs = 73 meV per atom

***

(5)
A geometry-optimized Zr2BeFeH structure, computed with PBE.

Lattice parameters (Å, degrees): 4.456 4.456 3.380 90.00 90.00 90.00
Element x y z (fractional)
1 Zr 0.000 0.500 0.000
2 Zr 0.500 0.000 0.000
3 Be 0.000 0.000 0.500
4 Fe 0.500 0.500 0.500
5 H 0.500 0.500 0.000

Values from the calculation:
Total energy = -6.69 eV per atom
Space group = No. 123

***

(6)
A geometry-optimized Li8BiSb2 structure, computed with PBE.

Lattice parameters (Å, degrees): 8.021 8.021 8.021 146.76 129.99 61.38
Element x y z (fractional)
1 Li 0.111 0.341 0.770
2 Li 0.168 0.168 0.000
3 Li 0.284 0.000 0.284
4 Li 0.430 0.659 0.770
5 Li 0.570 0.341 0.230
6 Li 0.716 0.000 0.716
7 Li 0.832 0.832 0.000
8 Li 0.889 0.659 0.230
9 Bi 0.000 0.500 0.500
10 Sb 0.321 0.821 0.500
11 Sb 0.679 0.179 0.500

Values from the calculation:
E_form (uncorrected) = -566 meV per atom
Space group = No. 71
Relative energy among the computed polymorphs = 0 meV per atom

***

(7)
A geometry-optimized Ce6HoIn2 structure, computed with PBE.

Lattice parameters (Å, degrees): 8.267 8.267 7.850 111.11 111.11 29.43
Element x y z (fractional)
1 Ce 0.115 0.115 0.196
2 Ce 0.228 0.228 0.874
3 Ce 0.337 0.337 0.551
4 Ce 0.663 0.663 0.449
5 Ce 0.772 0.772 0.126
6 Ce 0.885 0.885 0.804
7 Ho 0.000 0.000 0.500
8 In 0.441 0.441 0.168
9 In 0.559 0.559 0.832

Values from the calculation:
Calculated formation energy = -137 kJ/mol of formula units
Space group = No. 12

***

(8)
A geometry-optimized SmDyTmTh structure, computed with PBE.

Lattice parameters (Å, degrees): 11.649 11.649 11.649 17.70 17.70 17.70
Element x y z (fractional)
1 Sm 0.000 0.000 0.000
2 Dy 0.248 0.248 0.248
3 Tm 0.418 0.418 0.418
4 Th 0.833 0.833 0.833

Values from the calculation:
Calculated formation energy = 4 kJ/mol of formula units
Space group = No. 160
Relative energy among the computed polymorphs = 0 meV per atom

***

(9)
A geometry-optimized AlTc2Sb structure, computed with PBE.

Lattice parameters (Å, degrees): 5.057 5.057 5.057 134.70 134.70 66.00
Element x y z (fractional)
1 Al 0.000 0.000 0.000
2 Tc 0.500 0.500 0.000
3 Tc 0.750 0.250 0.500
4 Sb 0.250 0.750 0.500

Values from the calculation:
E_form (uncorrected) = 140 meV per atom
Space group = No. 119
Relative energy among the computed polymorphs = 212 meV per atom

***

(10)
A geometry-optimized KRb5 structure, computed with PBE.

Lattice parameters (Å, degrees): 10.952 10.952 7.127 90.00 90.00 142.13
Element x y z (fractional)
1 K 0.000 0.000 0.000
2 Rb 0.164 0.836 0.500
3 Rb 0.336 0.664 0.000
4 Rb 0.500 0.500 0.500
5 Rb 0.664 0.336 0.000
6 Rb 0.836 0.164 0.500

Values from the calculation:
Calculated formation energy = 2 kJ/mol of formula units
Space group = No. 65
Relative energy among the computed polymorphs = 0 meV per atom

***

(11)
A geometry-optimized Li2TaIn structure, computed with PBE.

Lattice parameters (Å, degrees): 4.012 4.012 4.506 90.00 90.00 90.00
Element x y z (fractional)
1 Li 0.000 0.500 0.000
2 Li 0.500 0.000 0.000
3 Ta 0.000 0.000 0.500
4 In 0.500 0.500 0.500

Values from the calculation:
Calculated formation energy = 115 kJ/mol of formula units
Space group = No. 123

***

(12)
A geometry-optimized ZnCrCd2 structure, computed with PBE.

Lattice parameters (Å, degrees): 6.115 6.115 6.115 102.28 102.28 125.08
Element x y z (fractional)
1 Zn 0.000 0.000 0.000
2 Zn 0.750 0.250 0.500
3 Cr 0.250 0.750 0.500
4 Cr 0.500 0.500 0.000
5 Cd 0.108 0.625 0.983
6 Cd 0.375 0.358 0.483
7 Cd 0.642 0.125 0.017
8 Cd 0.875 0.892 0.517

Values from the calculation:
Calculated formation energy = 183 kJ/mol of formula units
Space group = No. 122

***

(13)
A geometry-optimized Li2AlCl6 structure, computed with PBE.

Lattice parameters (Å, degrees): 5.931 5.931 10.956 90.00 90.00 90.00
Element x y z (fractional)
1 Li 0.000 0.000 0.168
2 Li 0.000 0.000 0.832
3 Li 0.500 0.500 0.332
4 Li 0.500 0.500 0.668
5 Al 0.000 0.000 0.500
6 Al 0.500 0.500 0.000
7 Cl 0.190 0.190 0.346
8 Cl 0.190 0.190 0.654
9 Cl 0.219 0.219 0.000
10 Cl 0.281 0.719 0.500
11 Cl 0.310 0.690 0.154
12 Cl 0.310 0.690 0.846
13 Cl 0.690 0.310 0.154
14 Cl 0.690 0.310 0.846
15 Cl 0.719 0.281 0.500
16 Cl 0.781 0.781 0.000
17 Cl 0.810 0.810 0.346
18 Cl 0.810 0.810 0.654

Values from the calculation:
E_form (uncorrected) = -1352 meV per atom
Space group = No. 136

***

(14)
A geometry-optimized Sr3In2HgAu6 structure, computed with PBE.

Lattice parameters (Å, degrees): 6.330 6.330 9.063 90.00 90.00 120.00
Element x y z (fractional)
1 Sr 0.000 0.000 0.000
2 Sr 0.333 0.667 0.617
3 Sr 0.667 0.333 0.383
4 In 0.333 0.667 0.013
5 In 0.667 0.333 0.987
6 Hg 0.000 0.000 0.500
7 Au 0.180 0.360 0.277
8 Au 0.180 0.820 0.277
9 Au 0.360 0.180 0.723
10 Au 0.640 0.820 0.277
11 Au 0.820 0.180 0.723
12 Au 0.820 0.640 0.723

Values from the calculation:
Calculated formation energy = -521 kJ/mol of formula units
Space group = No. 164

***

(15)
A geometry-optimized CeMnCo3 structure, computed with PBE.

Lattice parameters (Å, degrees): 6.257 6.257 6.257 136.02 99.06 97.07
Element x y z (fractional)
1 Ce 0.301 0.051 0.250
2 Ce 0.699 0.949 0.750
3 Mn 0.000 0.500 0.500
4 Mn 0.500 0.500 0.000
5 Co 0.068 0.318 0.750
6 Co 0.249 0.000 0.749
7 Co 0.249 0.500 0.249
8 Co 0.751 0.000 0.251
9 Co 0.751 0.500 0.751
10 Co 0.932 0.682 0.250

Values from the calculation:
Calculated formation energy = 34 kJ/mol of formula units
Space group = No. 74

***

(16)
A geometry-optimized Te4Se5 structure, computed with PBE.

Lattice parameters (Å, degrees): 8.589 8.589 7.319 90.00 90.00 120.00
Element x y z (fractional)
1 Te 0.000 0.000 0.000
2 Te 0.000 0.000 0.500
3 Te 0.000 0.409 0.250
4 Te 0.000 0.591 0.750
5 Te 0.409 0.000 0.250
6 Te 0.409 0.409 0.750
7 Te 0.591 0.000 0.750
8 Te 0.591 0.591 0.250
9 Se 0.000 0.252 0.750
10 Se 0.000 0.748 0.250
11 Se 0.252 0.000 0.750
12 Se 0.252 0.252 0.250
13 Se 0.333 0.667 0.000
14 Se 0.333 0.667 0.500
15 Se 0.667 0.333 0.000
16 Se 0.667 0.333 0.500
17 Se 0.748 0.000 0.250
18 Se 0.748 0.748 0.750

Values from the calculation:
E_form (uncorrected) = 240 meV per atom
Space group = No. 193

***

(17)
A geometry-optimized CaSmGd4 structure, computed with PBE.

Lattice parameters (Å, degrees): 6.706 6.706 6.706 60.00 60.00 60.00
Element x y z (fractional)
1 Ca 0.000 0.000 0.000
2 Sm 0.250 0.250 0.250
3 Gd 0.130 0.623 0.623
4 Gd 0.623 0.130 0.623
5 Gd 0.623 0.623 0.130
6 Gd 0.623 0.623 0.623

Values from the calculation:
Calculated formation energy = 124 kJ/mol of formula units
Space group = No. 216

***

(18)
A geometry-optimized Tm3GeSe6 structure, computed with PBE.

Lattice parameters (Å, degrees): 8.845 8.845 6.817 90.00 90.00 102.56
Element x y z (fractional)
1 Tm 0.096 0.904 0.500
2 Tm 0.217 0.413 0.593
3 Tm 0.413 0.217 0.093
4 Tm 0.587 0.783 0.593
5 Tm 0.783 0.587 0.093
6 Tm 0.904 0.096 0.000
7 Ge 0.298 0.702 0.134
8 Ge 0.702 0.298 0.634
9 Se 0.056 0.597 0.326
10 Se 0.129 0.196 0.295
11 Se 0.196 0.129 0.795
12 Se 0.281 0.719 0.750
13 Se 0.403 0.944 0.326
14 Se 0.466 0.534 0.294
15 Se 0.534 0.466 0.794
16 Se 0.597 0.056 0.826
17 Se 0.719 0.281 0.250
18 Se 0.804 0.871 0.295
19 Se 0.871 0.804 0.795
20 Se 0.944 0.403 0.826

Values from the calculation:
E_form (uncorrected) = -1382 meV per atom
Space group = No. 36

***

(19)
A geometry-optimized LaZnGa2Ni5 structure, computed with PBE.

Lattice parameters (Å, degrees): 4.542 4.542 6.957 90.00 90.00 90.00
Element x y z (fractional)
1 La 0.000 0.000 0.000
2 Zn 0.000 0.000 0.500
3 Ga 0.500 0.500 0.324
4 Ga 0.500 0.500 0.676
5 Ni 0.000 0.500 0.309
6 Ni 0.000 0.500 0.691
7 Ni 0.500 0.000 0.309
8 Ni 0.500 0.000 0.691
9 Ni 0.500 0.500 0.000

Values from the calculation:
Calculated formation energy = -20 kJ/mol of formula units
Space group = No. 123

***

(20)
A geometry-optimized BaSn2F11 structure, computed with PBE.

Lattice parameters (Å, degrees): 8.942 8.942 8.942 126.85 108.21 95.04
Element x y z (fractional)
1 Ba 0.250 0.250 0.000
2 Ba 0.750 0.750 0.000
3 Sn 0.185 0.638 0.823
4 Sn 0.315 0.138 0.453
5 Sn 0.685 0.862 0.547
6 Sn 0.815 0.362 0.177
7 F 0.000 0.500 0.500
8 F 0.037 0.370 0.172
9 F 0.068 0.981 0.294
10 F 0.187 0.481 0.914
11 F 0.198 0.865 0.828
12 F 0.211 0.377 0.588
13 F 0.289 0.877 0.166
14 F 0.302 0.130 0.667
15 F 0.313 0.227 0.294
16 F 0.432 0.727 0.914
17 F 0.463 0.635 0.333
18 F 0.500 0.000 0.500
19 F 0.537 0.365 0.667
20 F 0.568 0.273 0.086
21 F 0.687 0.773 0.706
22 F 0.698 0.870 0.333
23 F 0.711 0.123 0.834
24 F 0.789 0.623 0.412
25 F 0.802 0.135 0.172
26 F 0.813 0.519 0.086
27 F 0.932 0.019 0.706
28 F 0.963 0.630 0.828

Values from the calculation:
E_form (uncorrected) = -2543 meV per atom
Space group = No. 72

***

Record order is preserved below.
Size of the total moment: 0.00 0.00 0.00 0.00 0.59 0.00 0.94 0.00 0.00 0.00 0.00 4.11 0.46 0.00 5.45 0.00 29.18 0.00 0.00 1.18 μB/f.u.